# 1
A plane-wave DFT calculation with PBE-GGA was carried out for a relaxed structure of Fe2TeAs.

Size of the total moment = 4.763 μB per cell
E_form (uncorrected) = 28.85 kJ/mol of atoms
VASP energy = -23.52 eV per cell
Theoretical density = 7037 kg/m³
E above lowest polymorph = 29.67 kJ/mol of atoms

a = 3.107 Å, b = 3.922 Å, c = 6.157 Å
α = 90.00°, β = 98.80°, γ = 90.00°
Space group P2/m (No. 10)
Inequivalent atoms, fractional coordinates:
Fe: 0.169 0.000 0.342 (multiplicity 2)
Te: 0.000 0.500 0.000 (multiplicity 1)
As: 0.500 0.500 0.500 (multiplicity 1)

# 2
A plane-wave DFT calculation with PBE-GGA was carried out for a relaxed structure of Fe2TeAs.

Size of the total moment = 7.557 μB per cell
E_form (uncorrected) = 16.56 kJ/mol of atoms
VASP energy = -48.06 eV per cell
Theoretical density = 7816 kg/m³
E above lowest polymorph = 17.37 kJ/mol of atoms

a = 3.111 Å, b = 3.552 Å, c = 12.083 Å
α = 90.00°, β = 90.00°, γ = 90.00°
Space group Imm2 (No. 44)
Inequivalent atoms, fractional coordinates:
Fe: 0.000 0.000 0.000 (multiplicity 2)
Fe: 0.000 0.500 0.309 (multiplicity 2)
Te: 0.000 0.500 0.693 (multiplicity 2)
As: 0.000 0.000 0.444 (multiplicity 2)

# 3
A plane-wave DFT calculation with PBE-GGA was carried out for a relaxed structure of FeTe2As.

Size of the total moment = 11.566 μB per cell
E_form (uncorrected) = 29.07 kJ/mol of atoms
VASP energy = -72.76 eV per cell
Theoretical density = 5326 kg/m³

a = 6.275 Å, b = 6.275 Å, c = 12.225 Å
α = 90.00°, β = 90.00°, γ = 90.00°
Space group I-42d (No. 122)
Inequivalent atoms, fractional coordinates:
Fe: 0.000 0.000 0.000 (multiplicity 4)
Te: 0.207 0.250 0.125 (multiplicity 8)
As: 0.000 0.000 0.500 (multiplicity 4)

# 4
A plane-wave DFT calculation with PBE-GGA was carried out for a relaxed structure of FeTe2As.

Size of the total moment = 1.314 μB per cell
E_form (uncorrected) = 41.52 kJ/mol of atoms
VASP energy = -17.67 eV per cell
Theoretical density = 7448 kg/m³

a = 3.115 Å, b = 3.115 Å, c = 8.866 Å
α = 90.00°, β = 90.00°, γ = 90.00°
Space group P4/mmm (No. 123)
Inequivalent atoms, fractional coordinates:
Fe: 0.000 0.000 0.000 (multiplicity 1)
Te: 0.500 0.500 0.187 (multiplicity 2)
As: 0.000 0.000 0.500 (multiplicity 1)

Q: Which of these has the highest E_form (uncorrected)?
A: number 4